(1)
TbTh2ScSb4 | GGA-PBE | optimized geometry

Geometry as extended XYZ:
```
8
Lattice="4.422 0.000 0.000 0.000 7.655 0.127 0.000 -2.679 7.075" Properties=species:S:1:pos:R:3 pbc="T T T"
Tb 2.211 3.827 0.064
Th 2.211 -1.340 3.538
Sb 0.000 -0.145 5.435
Th 0.000 2.488 3.601
Sb 2.211 1.197 1.668
Sb 2.211 3.778 5.534
Sc 0.000 0.000 0.000
Sb 0.000 5.121 1.767
```

Summary:
Volume = 30.13 A^3/atom
Uncorrected formation energy = -0.97 eV per atom
SG = P2/m (10)

(2)
HoPuNi10 | GGA-PBE | optimized geometry

Geometry as extended XYZ:
```
12
Lattice="3.955 0.000 0.000 0.000 4.870 0.000 0.000 0.000 8.452" Properties=species:S:1:pos:R:3 pbc="T T T"
Ni 0.000 0.000 2.821
Ni 1.978 1.219 6.343
Ni 1.978 3.651 2.109
Ni 1.978 2.435 0.000
Ho 0.000 0.000 0.000
Ni 1.978 0.000 4.226
Ni 0.000 2.435 1.423
Ni 0.000 2.435 7.029
Pu 0.000 2.435 4.226
Ni 1.978 3.651 6.343
Ni 0.000 0.000 5.631
Ni 1.978 1.219 2.109
```

Summary:
Volume = 13.57 A^3/atom
Formation energy = -0.261 eV per atom
SG = Pmmm (47)

(3)
RbBi7O12 | GGA-PBE | optimized geometry

Geometry as extended XYZ:
```
20
Lattice="7.579 0.000 0.000 -2.526 7.145 0.000 -2.526 -3.573 6.188" Properties=species:S:1:pos:R:3 pbc="T T T"
O 0.599 -0.424 3.136
O 5.018 -0.270 1.935
Bi 2.526 -1.786 3.094
Bi 1.263 1.786 3.094
O 3.126 1.068 4.253
O -2.492 3.843 4.253
O -0.599 2.504 1.935
Bi -1.263 3.573 0.000
O 2.492 -1.762 5.454
O -1.927 -0.645 4.987
Bi 3.789 0.000 0.000
O 4.453 4.217 1.201
Bi -1.263 -1.786 3.094
O -0.035 2.032 4.987
O 1.927 3.996 3.052
Rb 0.000 0.000 0.000
O 2.561 1.541 1.201
Bi -2.526 1.786 3.094
Bi 2.526 3.573 0.000
O 0.035 5.335 0.734
```

Summary:
Volume = 16.76 A^3/atom
Uncorrected formation energy = -1.09 eV per atom
SG = Im-3 (204)

(4)
TlSb2RhI | GGA-PBE | optimized geometry

Geometry as extended XYZ:
```
5
Lattice="5.623 0.000 0.000 0.000 6.038 0.000 0.000 0.000 5.623" Properties=species:S:1:pos:R:3 pbc="T T T"
I 0.000 3.019 0.000
Sb 0.000 0.000 2.811
Sb 2.811 0.000 0.000
Rh 2.811 3.019 2.811
Tl 0.000 0.000 0.000
```

Summary:
Volume = 38.18 A^3/atom
Uncorrected formation energy = 1.37 eV per atom
SG = P4/mmm (123)

(5)
K2CeMgO4 | GGA-PBE | optimized geometry

Geometry as extended XYZ:
```
8
Lattice="3.518 0.000 0.000 0.000 5.706 0.098 0.000 -1.993 6.171" Properties=species:S:1:pos:R:3 pbc="T T T"
O 0.000 -0.121 5.059
O 1.759 2.757 5.116
O 1.759 0.955 1.153
Mg 0.000 0.000 0.000
K 1.759 -0.997 3.085
K 0.000 1.856 3.134
Ce 1.759 2.853 0.049
O 0.000 3.833 1.209
```

Summary:
Volume = 15.57 A^3/atom
Uncorrected formation energy = -2.41 eV per atom
SG = P2/m (10)

(6)
Mg7ZnPb2 | GGA-PBE | optimized geometry

Geometry as extended XYZ:
```
10
Lattice="-3.176 -2.416 -6.130 4.098 -1.712 -5.812 0.764 -6.993 -2.003" Properties=species:S:1:pos:R:3 pbc="T T T"
Mg 0.802 -6.303 -4.396
Mg -0.844 -7.556 -7.575
Mg 0.884 -4.818 -9.549
Pb 0.422 -2.780 -3.486
Mg 2.531 -3.566 -6.371
Pb 1.265 -8.341 -10.459
Mg 0.843 -5.561 -6.973
Zn 0.000 0.000 0.000
Mg 2.927 -7.191 -7.409
Mg -1.240 -3.931 -6.536
```

Summary:
Volume = 27.67 A^3/atom
Formation energy = 0.307 eV per atom
SG = Fm-3m (225)

(7)
BaSe2BrO | GGA-PBE | optimized geometry

Geometry as extended XYZ:
```
5
Lattice="6.645 0.000 0.000 0.000 6.645 0.000 0.000 0.000 6.273" Properties=species:S:1:pos:R:3 pbc="T T T"
Se 0.000 3.322 0.000
O 3.322 3.322 3.136
Br 0.000 0.000 3.136
Ba 0.000 0.000 0.000
Se 3.322 0.000 0.000
```

Summary:
Volume = 55.39 A^3/atom
Uncorrected formation energy = 0.29 eV per atom
SG = P4/mmm (123)

(8)
ZrTiCoAu | GGA-PBE | optimized geometry

Geometry as extended XYZ:
```
4
Lattice="4.590 0.000 0.000 2.295 3.975 0.000 2.295 1.325 3.748" Properties=species:S:1:pos:R:3 pbc="T T T"
Ti 2.295 1.325 0.937
Zr 6.885 3.975 2.811
Co 4.590 2.650 1.874
Au 0.000 0.000 0.000
```

Summary:
Volume = 17.09 A^3/atom
Formation energy = -0.231 eV per atom
SG = F-43m (216)

(9)
Tl2HgSb4 | GGA-PBE | optimized geometry

Geometry as extended XYZ:
```
7
Lattice="-2.863 -1.100 -7.235 5.562 -5.376 -1.384 -4.410 -0.381 6.071" Properties=species:S:1:pos:R:3 pbc="T T T"
Sb -0.083 -1.854 -3.953
Tl -2.962 -2.360 -2.737
Sb 2.086 -2.955 -2.447
Hg 0.000 0.000 0.000
Sb 0.612 -3.521 -6.172
Tl 1.251 -4.498 0.189
Sb 2.781 -4.622 -4.666
```

Summary:
Volume = 44.61 A^3/atom
Uncorrected formation energy = 0.18 eV per atom
SG = I4/mmm (139)

(10)
Pm12H5Pt3 | GGA-PBE | optimized geometry

Geometry as extended XYZ:
```
80
Lattice="-8.136 10.578 -1.862 -4.239 -7.110 10.632 12.565 4.333 2.215" Properties=species:S:1:pos:R:3 pbc="T T T"
H 0.535 -0.261 4.308
Pm -3.104 -4.929 9.688
Pt 1.623 1.342 8.660
Pm 0.780 4.223 8.015
H 5.843 6.328 2.292
Pm -0.590 3.578 2.970
Pm 3.671 5.994 1.814
H 0.515 -2.386 8.572
H 0.000 0.000 0.000
Pt -1.433 6.459 2.325
Pt -1.958 4.420 9.291
Pm 2.623 0.514 11.394
Pm 3.641 10.013 3.836
Pt 8.918 3.336 4.364
Pm -2.433 7.287 -0.409
H 6.283 2.166 1.108
Pm -10.124 2.228 8.193
Pm -5.624 0.522 6.655
Pm 6.190 0.969 11.010
Pm 8.251 0.878 6.079
H -0.345 8.062 6.677
Pm 0.022 11.568 0.673
H 2.215 7.456 0.177
Pt -8.728 4.465 6.621
Pm 1.690 9.019 6.715
Pm 1.104 0.608 2.313
Pm -3.703 4.536 1.566
H -2.120 -3.555 5.316
H 4.229 2.686 4.906
Pm 5.814 7.279 4.330
Pm 7.025 4.414 2.262
Pt 4.698 -1.650 10.732
Pt -4.508 9.450 0.253
Pt 2.148 3.381 1.694
Pm 0.168 -3.767 10.312
Pm -3.598 6.586 4.435
H -6.188 1.734 4.385
Pm -2.419 9.364 2.442
Pm -1.500 -1.218 4.270
Pm 0.980 8.357 2.321
H 2.730 5.070 8.748
H 4.163 -1.389 6.424
Pt -6.121 5.809 2.867
H -4.173 -3.035 9.114
H -0.326 10.186 2.413
Pm -3.617 1.569 3.833
Pm 6.151 3.663 5.547
Pm 3.893 3.265 9.419
H -2.540 2.731 2.237
Pm -0.178 6.487 5.079
Pm 6.159 -1.031 8.104
Pm 3.807 6.232 7.152
H 0.095 3.900 5.493
Pt 2.749 7.195 4.485
Pm -5.969 8.832 2.881
H -5.653 1.473 8.693
H 4.363 10.836 1.871
Pm -2.378 3.624 6.356
Pm 0.368 1.314 5.906
Pm -3.481 1.807 9.171
Pt 6.311 1.992 8.118
Pm -0.288 2.326 10.791
Pm 2.568 4.177 4.629
Pm 0.478 5.475 0.194
Pm -0.914 7.193 8.672
Pt -2.559 0.606 6.500
Pm 3.788 1.215 6.550
Pm 4.410 1.690 2.898
Pm 3.293 12.730 1.297
H -4.040 5.115 6.079
Pm 10.314 5.573 2.792
Pm 2.609 -1.563 8.543
Pm -3.451 -2.212 7.149
Pm -6.000 6.832 -0.025
Pm -5.962 4.138 5.438
Pm -4.220 6.111 8.087
Pm -6.835 3.387 8.723
Pm -0.790 -0.556 8.664
Pm -8.061 6.922 4.906
H -4.068 5.289 -0.931
```

Summary:
Volume = 23.54 A^3/atom
Total energy = -5.09 eV/atom
SG = Ia-3d (230)

(11)
Tm2Be5Cu5 | GGA-PBE | optimized geometry

Geometry as extended XYZ:
```
12
Lattice="3.858 0.000 0.000 0.000 4.712 0.000 0.000 0.000 8.565" Properties=species:S:1:pos:R:3 pbc="T T T"
Be 1.929 1.187 6.377
Be 1.929 1.187 2.187
Cu 0.000 0.000 1.566
Be 1.929 2.356 4.282
Cu 0.000 2.356 5.719
Cu 0.000 2.356 2.845
Cu 0.000 0.000 6.999
Tm 0.000 2.356 0.000
Be 1.929 3.526 6.377
Be 1.929 3.526 2.187
Cu 1.929 0.000 0.000
Tm 0.000 0.000 4.282
```

Summary:
Volume = 12.98 A^3/atom
Formation energy = -0.199 eV per atom
SG = Pmmm (47)

(12)
Rb2BiPt2 | GGA-PBE | optimized geometry

Geometry as extended XYZ:
```
10
Lattice="-4.043 -1.333 -2.123 5.203 -6.056 -6.105 1.334 -4.537 5.637" Properties=species:S:1:pos:R:3 pbc="T T T"
Rb 2.905 -5.206 -2.263
Pt 1.470 -4.743 -5.150
Pt 0.206 -6.230 3.520
Rb 1.396 -8.872 -2.417
Pt -0.269 -6.660 -0.635
Rb 1.097 -3.052 -0.172
Pt 4.572 -7.371 -4.077
Bi 1.615 -6.953 1.290
Bi 2.669 -7.057 -5.981
Rb -1.987 -4.885 1.522
```

Summary:
Volume = 33.29 A^3/atom
Formation energy = -0.101 eV per atom
SG = Cmc2_1 (36)

(13)
Dy4Tm4Sc3 | GGA-PBE | optimized geometry

Geometry as extended XYZ:
```
11
Lattice="-0.694 2.698 -1.938 -5.224 -1.523 -0.251 -6.350 9.855 13.016" Properties=species:S:1:pos:R:3 pbc="T T T"
Sc -4.219 4.440 1.751
Dy -4.531 4.886 5.449
Dy -7.736 6.144 5.378
Tm -6.782 3.136 3.825
Tm -5.485 7.894 7.002
Tm -3.263 1.429 0.189
Sc -8.048 6.590 9.076
Tm -9.004 9.602 10.638
Dy -6.172 1.480 1.297
Sc 0.000 0.000 0.000
Dy -6.096 9.551 9.529
```

Summary:
Volume = 28.94 A^3/atom
Formation energy = 0.104 eV per atom
SG = P-1 (2)

(14)
PmY2NpP4 | GGA-PBE | optimized geometry

Geometry as extended XYZ:
```
8
Lattice="4.021 0.000 0.000 0.000 6.978 0.131 0.000 -2.430 6.527" Properties=species:S:1:pos:R:3 pbc="T T T"
P 0.000 4.682 1.738
Np 0.000 0.000 0.000
P 0.000 -0.135 4.919
Pm 2.011 3.489 0.066
P 2.011 3.455 5.009
P 2.011 1.093 1.648
Y 0.000 2.274 3.329
Y 2.011 -1.215 3.263
```

Summary:
Volume = 23.05 A^3/atom
Formation energy = -1.409 eV per atom
SG = P2/m (10)

(15)
Tb2CeErS4 | GGA-PBE | optimized geometry

Geometry as extended XYZ:
```
8
Lattice="3.919 0.000 0.000 0.000 6.841 0.134 0.000 -2.374 6.383" Properties=species:S:1:pos:R:3 pbc="T T T"
Tb 1.959 -1.187 3.191
Ce 1.959 3.421 0.067
Er 0.000 0.000 0.000
S 1.959 3.395 4.898
S 0.000 4.583 1.722
Tb 0.000 2.234 3.258
S 0.000 -0.115 4.795
S 1.959 1.073 1.619
```

Summary:
Volume = 21.55 A^3/atom
Uncorrected formation energy = -2.01 eV per atom
SG = P2/m (10)

(16)
InSb2Rh2 | GGA-PBE | optimized geometry

Geometry as extended XYZ:
```
5
Lattice="4.135 0.000 0.000 0.000 4.135 0.000 2.068 2.068 7.060" Properties=species:S:1:pos:R:3 pbc="T T T"
Sb 2.068 2.068 1.937
Sb 4.135 4.135 5.123
In 0.000 0.000 0.000
Rh 2.068 4.135 3.530
Rh 4.135 2.068 3.530
```

Summary:
Volume = 24.14 A^3/atom
Uncorrected formation energy = -0.22 eV per atom
SG = I4/mmm (139)

(17)
TlSi2Te6 | GGA-PBE | optimized geometry

Geometry as extended XYZ:
```
18
Lattice="-3.464 -2.266 5.636 5.435 -8.030 2.507 5.134 4.466 7.348" Properties=species:S:1:pos:R:3 pbc="T T T"
Te 8.743 -3.216 9.829
Te 7.027 -5.012 12.390
Te 1.993 -4.845 4.979
Te 2.175 -1.193 6.666
Tl 4.323 1.629 7.877
Tl 2.782 -7.459 7.614
Si 4.756 -5.013 11.326
Te -1.638 -2.614 5.662
Te 4.930 -4.637 8.825
Te 0.137 -0.826 9.793
Te 0.078 -0.818 3.101
Te 6.606 -1.180 6.907
Te 6.968 -5.004 5.698
Te 0.499 -4.650 8.583
Si 0.648 -3.236 6.484
Si 6.457 -2.594 9.007
Si 2.349 -0.817 4.164
Te 5.112 -0.985 10.512
```

Summary:
Volume = 37.43 A^3/atom
Uncorrected formation energy = -0.02 eV per atom
SG = C2/c (15)

(18)
Sc2FeW | GGA-PBE | optimized geometry

Geometry as extended XYZ:
```
4
Lattice="-3.373 2.997 -2.954 -5.181 -1.490 -0.120 4.161 1.620 3.024" Properties=species:S:1:pos:R:3 pbc="T T T"
Fe -2.649 0.442 0.684
Sc -0.287 0.050 -0.103
Sc -3.990 0.703 -1.434
W -1.745 2.685 -0.733
```

Summary:
Volume = 16.63 A^3/atom
Formation energy = 0.254 eV per atom
SG = Immm (71)

(19)
Zn4AsN4 | GGA-PBE | optimized geometry

Geometry as extended XYZ:
```
18
Lattice="-3.232 0.485 -4.655 0.225 -5.682 -0.131 -5.601 -0.311 3.856" Properties=species:S:1:pos:R:3 pbc="T T T"
As -3.428 -3.582 -2.263
N -6.211 -1.376 2.871
N -3.423 -1.221 0.951
Zn -5.446 -0.717 -1.959
Zn -2.752 -0.609 -1.043
N -2.397 -4.132 -3.801
As -5.180 -1.926 1.333
N -4.902 -3.805 1.585
Zn -6.884 -3.064 -1.233
Zn -5.856 -4.899 0.113
Zn -1.724 -2.443 0.303
N -6.246 -1.408 -0.172
N -5.185 -4.287 -1.881
Zn -3.162 -4.791 1.029
N -3.706 -1.703 -2.515
Zn -0.362 -4.635 -0.899
N -2.362 -4.099 -0.757
Zn -2.645 -0.561 -3.887
```

Summary:
Volume = 12.19 A^3/atom
Uncorrected formation energy = 0.27 eV per atom
SG = Cmcm (63)

(20)
Ca2ZrPb | GGA-PBE | optimized geometry

Geometry as extended XYZ:
```
4
Lattice="-1.931 0.029 -2.890 2.012 -2.518 -1.301 -6.161 -7.015 4.045" Properties=species:S:1:pos:R:3 pbc="T T T"
Ca -1.751 -3.284 -0.919
Ca -6.003 -6.834 3.941
Zr -4.384 -6.282 0.809
Pb -3.184 -3.626 2.091
```

Summary:
Volume = 30.72 A^3/atom
Formation energy = -0.001 eV per atom
SG = Cmm2 (35)